(1)
Here is a relaxed Nb3Mo2W2 crystal from the Alexandria database. Energies are from PBE-GGA.

Lattice parameters (Å, degrees): 4.5632 4.5632 7.0327 90.00 108.94 119.98
Last column: nearest neighbours and their distance in Å.
Element x y z (fractional)
W (0.8542, 0.4272, 0.2814)  4 Mo 2.76-2.79, 3 Nb 2.81, 1 W 2.85
Nb (0.2878, 0.1439, 0.4318)  1 Mo 2.78, 4 Nb 2.78-2.82, 3 W 2.81
Mo (0.4279, 0.7139, 0.1418)  4 W 2.76-2.79, 4 Nb 2.78-2.79
W (0.1458, 0.5728, 0.7186)  4 Mo 2.76-2.79, 3 Nb 2.81, 1 W 2.85
Mo (0.5721, 0.2861, 0.8582)  4 W 2.76-2.79, 4 Nb 2.78-2.79
Nb (0.0000, 0.0000, 0.0000)  6 Mo 2.79, 2 Nb 2.82
Nb (0.7122, 0.8561, 0.5682)  1 Mo 2.78, 4 Nb 2.78-2.82, 3 W 2.81

Calculated values
Magnetization: 0.000 μB/atom
ΔE to the lowest computed polymorph: 0 meV/atom
Space-group type: R-3m, No. 166

***

(2)
Here is a relaxed Nb2Mo3W6 crystal from the Alexandria database. Energies are from PBE-GGA.

Lattice parameters (Å, degrees): 4.5206 2.7706 14.6706 97.22 98.86 90.00
Last column: nearest neighbours and their distance in Å.
Element x y z (fractional)
Mo (0.8172, 0.0875, 0.6343)  6 W 2.73-2.77, 2 Mo 2.77
W (0.7275, 0.6401, 0.4550)  5 W 2.73-2.77, 3 Mo 2.73-2.76
W (0.9070, 0.5385, 0.8140)  2 Mo 2.74-2.83, 4 W 2.76-2.77, 2 Nb 2.79
W (0.2725, 0.3599, 0.5450)  5 W 2.73-2.77, 3 Mo 2.73-2.76
W (0.3620, 0.8096, 0.7241)  5 W 2.73-2.77, 2 Mo 2.77, 1 Nb 2.78
Nb (0.4533, 0.2618, 0.9067)  3 Nb 2.77-2.86, 2 Mo 2.78, 3 W 2.78-2.79
Mo (0.0000, 0.0000, 0.0000)  2 Mo 2.77, 4 Nb 2.78, 2 W 2.83
Mo (0.1828, 0.9125, 0.3657)  6 W 2.73-2.77, 2 Mo 2.77
W (0.6380, 0.1904, 0.2759)  5 W 2.73-2.77, 2 Mo 2.77, 1 Nb 2.78
Nb (0.5467, 0.7382, 0.0933)  3 Nb 2.77-2.86, 2 Mo 2.78, 3 W 2.78-2.79
W (0.0930, 0.4615, 0.1860)  2 Mo 2.74-2.83, 4 W 2.76-2.77, 2 Nb 2.79

Calculated values
Magnetization: 0.000 μB/atom
Space-group type: C2/m, No. 12

***

(3)
Here is a relaxed Nb2Mo4W3 crystal from the Alexandria database. Energies are from PBE-GGA.

Lattice parameters (Å, degrees): 5.3737 7.9401 7.9401 62.56 93.59 93.59
Last column: nearest neighbours and their distance in Å.
Element x y z (fractional)
W (0.7390, 0.1646, 0.1677)  2 W 2.69, 4 Mo 2.80-2.88, 2 Nb 2.82-2.90
Mo (0.5947, 0.5090, 0.1570)  2 Mo 2.67-2.69, 3 Nb 2.68-2.83, 3 W 2.75-2.85
Mo (0.5016, 0.1710, 0.8306)  4 Mo 2.67-2.81, 1 Nb 2.71, 2 W 2.87-2.88
Nb (0.5932, 0.1662, 0.5015)  4 Mo 2.68-2.83, 3 W 2.74-2.90, 1 Nb 2.77
Mo (0.0016, 0.8306, 0.1710)  4 Mo 2.67-2.81, 1 Nb 2.71, 2 W 2.87-2.88
Mo (0.4053, 0.4910, 0.8430)  2 Mo 2.67-2.69, 3 Nb 2.68-2.83, 3 W 2.75-2.85
Nb (0.4068, 0.8338, 0.4985)  4 Mo 2.68-2.83, 3 W 2.74-2.90, 1 Nb 2.77
Nb (0.0932, 0.5015, 0.1662)  4 Mo 2.68-2.83, 3 W 2.74-2.90, 1 Nb 2.77
Mo (0.9053, 0.8430, 0.4910)  2 Mo 2.67-2.69, 3 Nb 2.68-2.83, 3 W 2.75-2.85
W (0.2500, 0.4953, 0.5047)  2 W 2.69, 2 Nb 2.74, 4 Mo 2.75-3.00
W (0.2390, 0.1677, 0.1646)  2 W 2.69, 4 Mo 2.80-2.88, 2 Nb 2.82-2.90
Nb (0.9068, 0.4985, 0.8338)  4 Mo 2.68-2.83, 3 W 2.74-2.90, 1 Nb 2.77
W (0.2610, 0.8354, 0.8323)  2 W 2.69, 4 Mo 2.80-2.88, 2 Nb 2.82-2.90
W (0.7610, 0.8323, 0.8354)  2 W 2.69, 4 Mo 2.80-2.88, 2 Nb 2.82-2.90
Mo (0.4984, 0.8290, 0.1694)  4 Mo 2.67-2.81, 1 Nb 2.71, 2 W 2.87-2.88
Mo (0.9984, 0.1694, 0.8290)  4 Mo 2.67-2.81, 1 Nb 2.71, 2 W 2.87-2.88
Mo (0.0947, 0.1570, 0.5090)  2 Mo 2.67-2.69, 3 Nb 2.68-2.83, 3 W 2.75-2.85
W (0.7500, 0.5047, 0.4953)  2 W 2.69, 2 Nb 2.74, 4 Mo 2.75-3.00

Calculated values
Magnetization: 0.000 μB/atom
ΔE to the lowest computed polymorph: 273 meV/atom
Space-group type: C2/c, No. 15

***

(4)
Here is a relaxed Nb5Mo4W2 crystal from the Alexandria database. Energies are from PBE-GGA.

Lattice parameters (Å, degrees): 2.9179 7.6993 9.5748 111.75 98.76 90.00
Last column: nearest neighbours and their distance in Å.
Element x y z (fractional)
Mo (0.6955, 0.6210, 0.3910)  2 W 2.74, 3 Nb 2.81-2.88, 2 Mo 2.92
Nb (0.1017, 0.8160, 0.2035)  2 Mo 2.64-2.89, 2 W 2.72, 2 Nb 2.92
Mo (0.3045, 0.3790, 0.6090)  2 W 2.74, 3 Nb 2.81-2.88, 2 Mo 2.92
Mo (0.9572, 0.5892, 0.9144)  1 Mo 2.49, 2 Nb 2.53-2.64
Nb (0.8982, 0.1840, 0.7965)  2 Mo 2.64-2.89, 2 W 2.72, 2 Nb 2.92
Mo (0.0428, 0.4108, 0.0856)  1 Mo 2.49, 2 Nb 2.53-2.64
W (0.7121, 0.0774, 0.4243)  4 W 2.62-2.92, 4 Nb 2.72-2.73, 2 Mo 2.74
W (0.2879, 0.9226, 0.5757)  4 W 2.62-2.92, 4 Nb 2.72-2.73, 2 Mo 2.74
Nb (0.8548, 0.7266, 0.7096)  2 Mo 2.53-2.81, 2 W 2.73
Nb (0.5000, 0.0000, 0.0000)  10 Nb 2.92-3.14
Nb (0.1452, 0.2734, 0.2904)  2 Mo 2.53-2.81, 2 W 2.73

Calculated values
Magnetization: 0.000 μB/atom
ΔE to the lowest computed polymorph: 36 meV/atom
Space-group type: C2/m, No. 12

***

Per-record formation enthalpy at 0 K, eV/atom: -0.098, -0.052, 0.169, 0.486